# 1
Here is a relaxed structure of Rb3ErSb2O9 from Alexandria via LeMat-Bulk. Energies are from GGA-PBE.

POSCAR file:
```
Rb3ErSb2O9
1.0
-1.390 5.675 1.087
1.367 -3.638 4.496
7.047 1.850 -0.646
O Rb Er Sb
9 3 1 2
Cartesian
2.469 0.305 1.563
-0.012 1.018 2.792
4.566 2.616 0.728
3.117 -1.419 3.694
0.684 -1.819 2.248
-0.695 2.838 0.544
2.458 1.271 4.209
4.555 3.581 3.375
3.907 5.306 1.244
0.000 0.000 0.000
5.125 0.694 2.931
1.898 3.193 2.006
3.523 0.925 -0.323
5.437 4.122 1.682
1.587 -0.235 3.256
```

# 2
Here is a relaxed structure of Rb2Er2SbO6 from Alexandria via LeMat-Bulk. Energies are from GGA-PBE.

POSCAR file:
```
Rb2Er2SbO6
1.0
5.900 -0.013 0.074
-2.928 5.123 0.074
-1.037 -1.783 6.645
O Rb Sb Er
6 2 1 2
Cartesian
0.437 0.752 2.266
0.550 4.267 2.344
3.437 2.587 2.344
1.386 -0.940 4.449
1.498 2.575 4.527
-1.502 0.740 4.449
-1.466 4.272 0.074
4.438 0.838 0.074
-0.519 -0.891 3.322
-0.494 2.513 3.396
2.429 0.813 3.396
```

# 3
Here is a relaxed structure of Rb4Er3ScO8 from Alexandria via LeMat-Bulk. Energies are from GGA-PBE.

POSCAR file:
```
Rb4Er3ScO8
1.0
6.856 0.000 0.000
0.000 7.615 0.521
-3.428 -3.417 4.855
Er Sc O Rb
3 1 8 4
Cartesian
3.428 3.808 0.260
1.714 2.099 2.688
-1.714 2.099 2.688
0.000 3.808 0.260
1.664 2.339 0.401
3.428 3.599 2.534
1.764 1.859 4.975
-1.764 1.859 4.975
3.428 0.581 2.900
5.192 2.339 0.401
0.000 0.599 2.842
0.000 3.617 2.476
0.000 0.000 0.000
1.714 -1.709 2.427
-1.714 -1.709 2.427
3.428 0.000 0.000
```

no.,ΔE_f (raw) (eV/f.u.)
1,-25.02
2,-25.77
3,-43.15